Entry 1:
# PBE TaFe2Si, relaxed
# Density ... 9888 kg/m³
# Total DFT energy (no corrections) ... -8.60 eV/atom
data_TaFe2Si
_cell_length_a 5.221
_cell_length_b 8.419
_cell_length_c 2.709
_cell_angle_alpha 90.00
_cell_angle_beta 115.21
_cell_angle_gamma 90.00
_symmetry_space_group_name_H-M 'C 1 2/m 1'
_symmetry_Int_Tables_number 12
_symmetry_space_group_name_Hall '-C 2y'
loop_
_atom_site_label
_atom_site_fract_x
_atom_site_fract_y
_atom_site_fract_z
Ta1 0.000 0.000 0.000
Fe1 0.250 0.250 0.500
Si1 0.000 0.500 0.000

Entry 2:
# PBE Ta2FeSi, relaxed
# Density ... 12238 kg/m³
# Total DFT energy (no corrections) ... -9.58 eV/atom
data_Ta2FeSi
_cell_length_a 5.530
_cell_length_b 7.270
_cell_length_c 3.010
_cell_angle_alpha 90.00
_cell_angle_beta 90.00
_cell_angle_gamma 90.00
_symmetry_space_group_name_H-M 'C m m m'
_symmetry_Int_Tables_number 65
_symmetry_space_group_name_Hall '-C 2 2'
loop_
_atom_site_label
_atom_site_fract_x
_atom_site_fract_y
_atom_site_fract_z
Ta1 0.250 0.250 0.000
Fe1 0.000 0.000 0.500
Si1 0.000 0.500 0.500

Entry 3:
# PBE TaFe6Si, relaxed
# Density ... 9432 kg/m³
# Total DFT energy (no corrections) ... -8.68 eV/atom
data_TaFe6Si
_cell_length_a 6.003
_cell_length_b 11.338
_cell_length_c 11.260
_cell_angle_alpha 90.00
_cell_angle_beta 90.00
_cell_angle_gamma 90.00
_symmetry_space_group_name_H-M 'C m m m'
_symmetry_Int_Tables_number 65
_symmetry_space_group_name_Hall '-C 2 2'
loop_
_atom_site_label
_atom_site_fract_x
_atom_site_fract_y
_atom_site_fract_z
Ta1 0.000 0.000 0.244
Ta2 0.000 0.244 0.500
Fe1 0.000 0.000 0.000
Fe2 0.000 0.000 0.500
Fe3 0.000 0.250 0.244
Fe4 0.000 0.500 0.000
Fe5 0.000 0.500 0.500
Fe6 0.239 0.377 0.369
Fe7 0.242 0.371 0.119
Si1 0.000 0.244 0.000
Si2 0.000 0.500 0.241

Entry 4:
# PBE TaFeSi2, relaxed
# Density ... 8783 kg/m³
# Total DFT energy (no corrections) ... -7.69 eV/atom
data_TaFeSi2
_cell_length_a 6.051
_cell_length_b 6.051
_cell_length_c 6.051
_cell_angle_alpha 90.00
_cell_angle_beta 90.00
_cell_angle_gamma 90.00
_symmetry_space_group_name_H-M 'F -4 3 m'
_symmetry_Int_Tables_number 216
_symmetry_space_group_name_Hall 'F -4 2 3'
loop_
_atom_site_label
_atom_site_fract_x
_atom_site_fract_y
_atom_site_fract_z
Ta1 0.000 0.000 0.000
Fe1 0.250 0.250 0.250
Si1 0.000 0.000 0.500
Si2 0.250 0.250 0.750

Entry 5:
# PBE Ta4FeSi, relaxed
# Density ... 12389 kg/m³
# Total DFT energy (no corrections) ... -9.54 eV/atom
data_Ta4FeSi
_cell_length_a 7.566
_cell_length_b 7.566
_cell_length_c 7.566
_cell_angle_alpha 90.00
_cell_angle_beta 90.00
_cell_angle_gamma 90.00
_symmetry_space_group_name_H-M 'F -4 3 m'
_symmetry_Int_Tables_number 216
_symmetry_space_group_name_Hall 'F -4 2 3'
loop_
_atom_site_label
_atom_site_fract_x
_atom_site_fract_y
_atom_site_fract_z
Ta1 0.125 0.125 0.125
Fe1 0.250 0.250 0.750
Si1 0.000 0.000 0.500

Entry 6:
# PBE TaFeSi2, relaxed
# Density ... 9047 kg/m³
# Total DFT energy (no corrections) ... -8.11 eV/atom
data_TaFeSi2
_cell_length_a 3.069
_cell_length_b 3.069
_cell_length_c 5.711
_cell_angle_alpha 90.00
_cell_angle_beta 90.00
_cell_angle_gamma 90.00
_symmetry_space_group_name_H-M 'P 4 m m'
_symmetry_Int_Tables_number 99
_symmetry_space_group_name_Hall 'P 4 -2'
loop_
_atom_site_label
_atom_site_fract_x
_atom_site_fract_y
_atom_site_fract_z
Ta1 0.000 0.000 0.000
Fe1 0.500 0.500 0.311
Si1 0.000 0.000 0.485
Si2 0.500 0.500 0.731

Entry 7:
# PBE TaFeSi2, relaxed
# Density ... 8056 kg/m³
# Total DFT energy (no corrections) ... -7.63 eV/atom
data_TaFeSi2
_cell_length_a 3.720
_cell_length_b 3.720
_cell_length_c 17.458
_cell_angle_alpha 90.00
_cell_angle_beta 90.00
_cell_angle_gamma 90.00
_symmetry_space_group_name_H-M 'I -4 2 d'
_symmetry_Int_Tables_number 122
_symmetry_space_group_name_Hall 'I -4 2bw'
loop_
_atom_site_label
_atom_site_fract_x
_atom_site_fract_y
_atom_site_fract_z
Ta1 0.000 0.000 0.000
Fe1 0.000 0.000 0.500
Si1 0.219 0.250 0.625

Entry 8:
# PBE Ta2Fe2Si, relaxed
# Density ... 11728 kg/m³
# Total DFT energy (no corrections) ... -9.29 eV/atom
data_Ta2Fe2Si
_cell_length_a 6.807
_cell_length_b 6.807
_cell_length_c 3.066
_cell_angle_alpha 90.00
_cell_angle_beta 90.00
_cell_angle_gamma 90.00
_symmetry_space_group_name_H-M 'P 4/m b m'
_symmetry_Int_Tables_number 127
_symmetry_space_group_name_Hall '-P 4 2ab'
loop_
_atom_site_label
_atom_site_fract_x
_atom_site_fract_y
_atom_site_fract_z
Ta1 0.171 0.329 0.000
Fe1 0.132 0.632 0.500
Si1 0.000 0.000 0.500

Entry 9:
# PBE TaFe2Si, relaxed
# Density ... 9806 kg/m³
# Total DFT energy (no corrections) ... -8.45 eV/atom
data_TaFe2Si
_cell_length_a 2.7629
_cell_length_b 2.7629
_cell_length_c 24.6459
_cell_angle_alpha 90.00
_cell_angle_beta 90.00
_cell_angle_gamma 120.00
_symmetry_space_group_name_H-M 'R 3 m'
_symmetry_Int_Tables_number 160
_symmetry_space_group_name_Hall 'R 3 -2"'
loop_
_atom_site_label
_atom_site_fract_x
_atom_site_fract_y
_atom_site_fract_z
Ta1 0.0000 0.0000 0.0000
Fe1 0.0000 0.0000 0.2420
Fe2 0.0000 0.0000 0.4994
Si1 0.0000 0.0000 0.7596

Entry 10:
# PBE TaFeSi2, relaxed
# Density ... 8762 kg/m³
# Total DFT energy (no corrections) ... -7.93 eV/atom
data_TaFeSi2
_cell_length_a 2.847
_cell_length_b 4.126
_cell_length_c 4.726
_cell_angle_alpha 90.00
_cell_angle_beta 90.00
_cell_angle_gamma 90.00
_symmetry_space_group_name_H-M 'P m m 2'
_symmetry_Int_Tables_number 25
_symmetry_space_group_name_Hall 'P 2 -2'
loop_
_atom_site_label
_atom_site_fract_x
_atom_site_fract_y
_atom_site_fract_z
Ta1 0.000 0.000 0.000
Fe1 0.500 0.500 0.753
Si1 0.500 0.000 0.514
Si2 0.500 0.500 0.249

Entry 11:
# PBE TaFe2Si, relaxed
# Density ... 10149 kg/m³
# Total DFT energy (no corrections) ... -8.48 eV/atom
data_TaFe2Si
_cell_length_a 2.7668
_cell_length_b 2.7668
_cell_length_c 23.7466
_cell_angle_alpha 90.00
_cell_angle_beta 90.00
_cell_angle_gamma 120.00
_symmetry_space_group_name_H-M 'R -3 m'
_symmetry_Int_Tables_number 166
_symmetry_space_group_name_Hall '-R 3 2"'
loop_
_atom_site_label
_atom_site_fract_x
_atom_site_fract_y
_atom_site_fract_z
Ta1 0.0000 0.0000 0.0000
Fe1 0.0000 0.0000 0.2420
Si1 0.0000 0.0000 0.5000

Entry 12:
# PBE Ta2FeSi, relaxed
# Density ... 12312 kg/m³
# Total DFT energy (no corrections) ... -9.74 eV/atom
data_Ta2FeSi
_cell_length_a 3.774
_cell_length_b 3.307
_cell_length_c 9.634
_cell_angle_alpha 90.00
_cell_angle_beta 90.00
_cell_angle_gamma 90.00
_symmetry_space_group_name_H-M 'A m m 2'
_symmetry_Int_Tables_number 38
_symmetry_space_group_name_Hall 'A 2 -2'
loop_
_atom_site_label
_atom_site_fract_x
_atom_site_fract_y
_atom_site_fract_z
Ta1 0.000 0.000 0.000
Ta2 0.500 0.000 0.303
Fe1 0.500 0.000 0.572
Si1 0.000 0.000 0.723

Entry 13:
# PBE TaFe2Si, relaxed
# Density ... 10501 kg/m³
# Total DFT energy (no corrections) ... -8.77 eV/atom
data_TaFe2Si
_cell_length_a 3.547
_cell_length_b 3.547
_cell_length_c 8.062
_cell_angle_alpha 90.00
_cell_angle_beta 90.00
_cell_angle_gamma 90.00
_symmetry_space_group_name_H-M 'I -4 m 2'
_symmetry_Int_Tables_number 119
_symmetry_space_group_name_Hall 'I -4 -2'
loop_
_atom_site_label
_atom_site_fract_x
_atom_site_fract_y
_atom_site_fract_z
Ta1 0.000 0.000 0.000
Fe1 0.000 0.000 0.500
Fe2 0.000 0.500 0.750
Si1 0.000 0.500 0.250

Entry 14:
# PBE Ta2FeSi, relaxed
# Density ... 12250 kg/m³
# Total DFT energy (no corrections) ... -9.61 eV/atom
data_Ta2FeSi
_cell_length_a 4.038
_cell_length_b 4.038
_cell_length_c 7.413
_cell_angle_alpha 90.00
_cell_angle_beta 90.00
_cell_angle_gamma 90.00
_symmetry_space_group_name_H-M 'I 4/m m m'
_symmetry_Int_Tables_number 139
_symmetry_space_group_name_Hall '-I 4 2'
loop_
_atom_site_label
_atom_site_fract_x
_atom_site_fract_y
_atom_site_fract_z
Ta1 0.000 0.500 0.250
Fe1 0.000 0.000 0.000
Si1 0.000 0.000 0.500

Entry 15:
# PBE TaFeSiTc, relaxed
# Density ... 11065 kg/m³
# Total DFT energy (no corrections) ... -9.47 eV/atom
data_TaFeSiTc
_cell_length_a 6.017
_cell_length_b 6.017
_cell_length_c 6.017
_cell_angle_alpha 90.00
_cell_angle_beta 90.00
_cell_angle_gamma 90.00
_symmetry_space_group_name_H-M 'F -4 3 m'
_symmetry_Int_Tables_number 216
_symmetry_space_group_name_Hall 'F -4 2 3'
loop_
_atom_site_label
_atom_site_fract_x
_atom_site_fract_y
_atom_site_fract_z
Ta1 0.000 0.000 0.000
Fe1 0.250 0.250 0.750
Si1 0.000 0.000 0.500
Tc1 0.250 0.250 0.250

Entry 16:
# PBE Ta2TiFeSi, relaxed
# Density ... 8656 kg/m³
# Total DFT energy (no corrections) ... -8.08 eV/atom
data_Ta2TiFeSi
_cell_length_a 4.620
_cell_length_b 4.620
_cell_length_c 4.436
_cell_angle_alpha 90.00
_cell_angle_beta 90.00
_cell_angle_gamma 90.00
_symmetry_space_group_name_H-M 'P 4/m m m'
_symmetry_Int_Tables_number 123
_symmetry_space_group_name_Hall '-P 4 2'
loop_
_atom_site_label
_atom_site_fract_x
_atom_site_fract_y
_atom_site_fract_z
Ta1 0.000 0.500 0.000
Ti1 0.000 0.000 0.500
Fe1 0.500 0.500 0.500
Si1 0.000 0.000 0.000

Entry 17:
# PBE TbFe3Si3, relaxed
# Density ... 5574 kg/m³
# ΔE to the lowest computed polymorph ... 272 meV per atom
# Total DFT energy (no corrections) ... -6.55 eV/atom
data_TbFe3Si3
_cell_length_a 6.255
_cell_length_b 6.255
_cell_length_c 6.255
_cell_angle_alpha 90.00
_cell_angle_beta 90.00
_cell_angle_gamma 90.00
_symmetry_space_group_name_H-M 'P m -3 n'
_symmetry_Int_Tables_number 223
_symmetry_space_group_name_Hall '-P 4n 2 3'
loop_
_atom_site_label
_atom_site_fract_x
_atom_site_fract_y
_atom_site_fract_z
Tb1 0.000 0.000 0.000
Fe1 0.000 0.250 0.500
Si1 0.000 0.500 0.250

Entry 18:
# PBE TbFeSi, relaxed
# Density ... 7319 kg/m³
# Total DFT energy (no corrections) ... -6.63 eV/atom
data_TbFeSi
_cell_length_a 4.0536
_cell_length_b 4.0536
_cell_length_c 3.8718
_cell_angle_alpha 90.00
_cell_angle_beta 90.00
_cell_angle_gamma 120.00
_symmetry_space_group_name_H-M 'P -6 m 2'
_symmetry_Int_Tables_number 187
_symmetry_space_group_name_Hall 'P -6 2'
loop_
_atom_site_label
_atom_site_fract_x
_atom_site_fract_y
_atom_site_fract_z
Tb1 0.0000 0.0000 0.0000
Fe1 0.6667 0.3333 0.5000
Si1 0.3333 0.6667 0.5000

Entry 19:
# PBE TbFe2Si3, relaxed
# Density ... 6793 kg/m³
# Total DFT energy (no corrections) ... -6.91 eV/atom
data_TbFe2Si3
_cell_length_a 9.313
_cell_length_b 7.205
_cell_length_c 5.171
_cell_angle_alpha 90.00
_cell_angle_beta 90.00
_cell_angle_gamma 90.00
_symmetry_space_group_name_H-M 'C m c m'
_symmetry_Int_Tables_number 63
_symmetry_space_group_name_Hall '-C 2c 2'
loop_
_atom_site_label
_atom_site_fract_x
_atom_site_fract_y
_atom_site_fract_z
Tb1 0.000 0.160 0.250
Fe1 0.200 0.500 0.000
Si1 0.000 0.438 0.750
Si2 0.188 0.214 0.750

Entry 20:
# PBE TbFeSi, relaxed
# Density ... 7545 kg/m³
# Total DFT energy (no corrections) ... -6.81 eV/atom
data_TbFeSi
_cell_length_a 4.033
_cell_length_b 4.033
_cell_length_c 6.574
_cell_angle_alpha 90.00
_cell_angle_beta 90.00
_cell_angle_gamma 90.00
_symmetry_space_group_name_H-M 'P 4/n m m'
_symmetry_Int_Tables_number 129
loop_
_symmetry_equiv_pos_as_xyz
'x,y,z'
'-x,-y,-z'
'-y+1/2,x,z'
'y+1/2,-x,-z'
'-x+1/2,-y+1/2,z'
'x+1/2,y+1/2,-z'
'y,-x+1/2,z'
'-y,x+1/2,-z'
'x+1/2,-y,-z'
'-x+1/2,y,z'
'-y,-x,-z'
'y,x,z'
'-x,y+1/2,-z'
'x,-y+1/2,z'
'y+1/2,x+1/2,-z'
'-y+1/2,-x+1/2,z'
loop_
_atom_site_label
_atom_site_fract_x
_atom_site_fract_y
_atom_site_fract_z
Tb1 0.250 0.250 0.185
Fe1 0.250 0.750 0.500
Si1 0.250 0.250 0.677